Entry 1:
# CrBPRh2 | Alexandria via LeMat-Bulk | PBE | relaxed
# Volume: 12.859 Å³ per atom
# Space-group type: No. 123
# Magnetization: 0.00 μB/cell
# Formation enthalpy at 0 K: 1.0 eV per formula unit
# Crystal system: tetragonal
data_CrBPRh2
_chemical_formula_sum 'Cr1 B1 P1 Rh2'
_space_group_name_H-M_alt 'P 1'
_space_group_IT_number 1
_cell_length_a 3.990
_cell_length_b 3.990
_cell_length_c 4.038
_cell_angle_alpha 90.00
_cell_angle_beta 90.00
_cell_angle_gamma 90.00
loop_
_space_group_symop_operation_xyz
'x,y,z'
loop_
_atom_site_label
_atom_site_type_symbol
_atom_site_fract_x
_atom_site_fract_y
_atom_site_fract_z
Cr1 Cr 0.000 0.000 0.000
B1 B 0.000 0.000 0.500
P1 P 0.500 0.500 0.000
Rh1 Rh 0.000 0.500 0.500
Rh2 Rh 0.500 0.000 0.500


Entry 2:
# Cr2BPRh | Alexandria via LeMat-Bulk | PBE | relaxed
# Volume: 12.079 Å³ per atom
# Space-group type: No. 123
# Magnetization: 0.00 μB/cell
# Formation enthalpy at 0 K: 1.2 eV per formula unit
# Crystal system: tetragonal
data_Cr2BPRh
_chemical_formula_sum 'Cr2 B1 P1 Rh1'
_space_group_name_H-M_alt 'P 1'
_space_group_IT_number 1
_cell_length_a 3.883
_cell_length_b 3.883
_cell_length_c 4.005
_cell_angle_alpha 90.00
_cell_angle_beta 90.00
_cell_angle_gamma 90.00
loop_
_space_group_symop_operation_xyz
'x,y,z'
loop_
_atom_site_label
_atom_site_type_symbol
_atom_site_fract_x
_atom_site_fract_y
_atom_site_fract_z
Cr1 Cr 0.000 0.500 0.000
Cr2 Cr 0.500 0.000 0.000
B1 B 0.000 0.000 0.000
P1 P 0.500 0.500 0.500
Rh1 Rh 0.000 0.000 0.500


Entry 3:
# CrBP2Rh | Alexandria via LeMat-Bulk | PBE | relaxed
# Volume: 13.308 Å³ per atom
# Space-group type: No. 123
# Magnetization: 0.03 μB/cell
# Formation enthalpy at 0 K: 4.0 eV per formula unit
# Crystal system: tetragonal
data_CrBP2Rh
_chemical_formula_sum 'Cr1 B1 P2 Rh1'
_space_group_name_H-M_alt 'P 1'
_space_group_IT_number 1
_cell_length_a 4.142
_cell_length_b 4.142
_cell_length_c 3.878
_cell_angle_alpha 90.00
_cell_angle_beta 90.00
_cell_angle_gamma 90.00
loop_
_space_group_symop_operation_xyz
'x,y,z'
loop_
_atom_site_label
_atom_site_type_symbol
_atom_site_fract_x
_atom_site_fract_y
_atom_site_fract_z
Cr1 Cr 0.000 0.000 0.000
B1 B 0.500 0.500 0.500
P1 P 0.000 0.500 0.500
P2 P 0.500 0.000 0.500
Rh1 Rh 0.500 0.500 0.000


Entry 4:
# CrBPS2 | Alexandria via LeMat-Bulk | PBE | relaxed
# Volume: 13.560 Å³ per atom
# Space-group type: No. 123
# Energy relative to the elements, uncorrected: 0.982 eV/atom
# Magnetization: 0.09 μB/cell
# Polymorph energy (0 for the lowest one): 0.0000 eV per atom
# Crystal system: tetragonal
data_CrBPS2
_chemical_formula_sum 'Cr1 B1 P1 S2'
_space_group_name_H-M_alt 'P 1'
_space_group_IT_number 1
_cell_length_a 4.163
_cell_length_b 4.163
_cell_length_c 3.911
_cell_angle_alpha 90.00
_cell_angle_beta 90.00
_cell_angle_gamma 90.00
loop_
_space_group_symop_operation_xyz
'x,y,z'
loop_
_atom_site_label
_atom_site_type_symbol
_atom_site_fract_x
_atom_site_fract_y
_atom_site_fract_z
Cr1 Cr 0.000 0.000 0.000
B1 B 0.500 0.500 0.500
P1 P 0.500 0.500 0.000
S1 S 0.000 0.500 0.500
S2 S 0.500 0.000 0.500


Entry 5:
# CrBPS2 | Alexandria via LeMat-Bulk | PBE | relaxed
# Volume: 17.941 Å³ per atom
# Space-group type: No. 123
# Energy relative to the elements, uncorrected: 1.121 eV/atom
# Magnetization: 1.07 μB/cell
# Polymorph energy (0 for the lowest one): 0.1385 eV per atom
# Crystal system: tetragonal
data_CrBPS2
_chemical_formula_sum 'Cr1 B1 P1 S2'
_space_group_name_H-M_alt 'P 1'
_space_group_IT_number 1
_cell_length_a 4.465
_cell_length_b 4.465
_cell_length_c 4.500
_cell_angle_alpha 90.00
_cell_angle_beta 90.00
_cell_angle_gamma 90.00
loop_
_space_group_symop_operation_xyz
'x,y,z'
loop_
_atom_site_label
_atom_site_type_symbol
_atom_site_fract_x
_atom_site_fract_y
_atom_site_fract_z
Cr1 Cr 0.000 0.000 0.000
B1 B 0.500 0.500 0.500
P1 P 0.000 0.000 0.500
S1 S 0.000 0.500 0.000
S2 S 0.500 0.000 0.000


Entry 6:
# CrBSbP2 | Alexandria via LeMat-Bulk | PBE | relaxed
# Volume: 21.572 Å³ per atom
# Space-group type: No. 123
# Energy relative to the elements, uncorrected: 1.997 eV/atom
# Magnetization: 0.16 μB/cell
# Crystal system: tetragonal
data_CrBSbP2
_chemical_formula_sum 'Cr1 B1 Sb1 P2'
_space_group_name_H-M_alt 'P 1'
_space_group_IT_number 1
_cell_length_a 5.050
_cell_length_b 5.050
_cell_length_c 4.230
_cell_angle_alpha 90.00
_cell_angle_beta 90.00
_cell_angle_gamma 90.00
loop_
_space_group_symop_operation_xyz
'x,y,z'
loop_
_atom_site_label
_atom_site_type_symbol
_atom_site_fract_x
_atom_site_fract_y
_atom_site_fract_z
Cr1 Cr 0.000 0.000 0.000
B1 B 0.500 0.500 0.000
Sb1 Sb 0.500 0.500 0.500
P1 P 0.000 0.500 0.500
P2 P 0.500 0.000 0.500


Entry 7:
# Cr2SiBP | Alexandria via LeMat-Bulk | PBE | relaxed
# Volume: 13.604 Å³ per atom
# Space-group type: No. 123
# Energy relative to the elements, uncorrected: 1.195 eV/atom
# Magnetization: 0.00 μB/cell
# Crystal system: tetragonal
data_Cr2SiBP
_chemical_formula_sum 'Cr2 Si1 B1 P1'
_space_group_name_H-M_alt 'P 1'
_space_group_IT_number 1
_cell_length_a 4.381
_cell_length_b 4.381
_cell_length_c 3.544
_cell_angle_alpha 90.00
_cell_angle_beta 90.00
_cell_angle_gamma 90.00
loop_
_space_group_symop_operation_xyz
'x,y,z'
loop_
_atom_site_label
_atom_site_type_symbol
_atom_site_fract_x
_atom_site_fract_y
_atom_site_fract_z
Cr1 Cr 0.000 0.500 0.000
Cr2 Cr 0.500 0.000 0.000
Si1 Si 0.000 0.000 0.000
B1 B 0.000 0.000 0.500
P1 P 0.500 0.500 0.500


Entry 8:
# PaCrB | Alexandria via LeMat-Bulk | PBE | relaxed
# Volume: 15.099 Å³ per atom
# Space-group type: No. 166
# Magnetization: 0.00 μB/cell
# Polymorph energy (0 for the lowest one): 0.0000 eV per atom
# Formation enthalpy at 0 K: -0.1 eV per formula unit
# Crystal system: trigonal
data_PaCrB
_chemical_formula_sum 'Pa2 Cr2 B2'
_space_group_name_H-M_alt 'P 1'
_space_group_IT_number 1
_cell_length_a 7.991
_cell_length_b 7.991
_cell_length_c 7.991
_cell_angle_alpha 26.66
_cell_angle_beta 26.66
_cell_angle_gamma 26.66
loop_
_space_group_symop_operation_xyz
'x,y,z'
loop_
_atom_site_label
_atom_site_type_symbol
_atom_site_fract_x
_atom_site_fract_y
_atom_site_fract_z
Pa1 Pa 0.224 0.224 0.224
Pa2 Pa 0.776 0.776 0.776
Cr1 Cr 0.350 0.350 0.350
Cr2 Cr 0.650 0.650 0.650
B1 B 0.039 0.039 0.039
B2 B 0.961 0.961 0.961


Entry 9:
# PaCrB | Alexandria via LeMat-Bulk | PBE | relaxed
# Volume: 15.057 Å³ per atom
# Space-group type: No. 187
# Magnetization: 0.00 μB/cell
# Polymorph energy (0 for the lowest one): 0.0135 eV per atom
# Formation enthalpy at 0 K: -0.1 eV per formula unit
# Crystal system: hexagonal
data_PaCrB
_chemical_formula_sum 'Pa1 Cr1 B1'
_space_group_name_H-M_alt 'P 1'
_space_group_IT_number 1
_cell_length_a 3.697
_cell_length_b 3.697
_cell_length_c 3.817
_cell_angle_alpha 90.00
_cell_angle_beta 90.00
_cell_angle_gamma 120.00
loop_
_space_group_symop_operation_xyz
'x,y,z'
loop_
_atom_site_label
_atom_site_type_symbol
_atom_site_fract_x
_atom_site_fract_y
_atom_site_fract_z
Pa1 Pa 0.000 0.000 0.000
Cr1 Cr 0.667 0.333 0.500
B1 B 0.333 0.667 0.500


Entry 10:
# Pa2CrB | Alexandria via LeMat-Bulk | PBE | relaxed
# Volume: 19.364 Å³ per atom
# Space-group type: No. 166
# Magnetization: 0.00 μB/cell
# Formation enthalpy at 0 K: 2.1 eV per formula unit
# Crystal system: trigonal
data_Pa2CrB
_chemical_formula_sum 'Pa2 Cr1 B1'
_space_group_name_H-M_alt 'P 1'
_space_group_IT_number 1
_cell_length_a 8.021
_cell_length_b 8.021
_cell_length_c 8.021
_cell_angle_alpha 24.40
_cell_angle_beta 24.40
_cell_angle_gamma 24.40
loop_
_space_group_symop_operation_xyz
'x,y,z'
loop_
_atom_site_label
_atom_site_type_symbol
_atom_site_fract_x
_atom_site_fract_y
_atom_site_fract_z
Pa1 Pa 0.101 0.101 0.101
Pa2 Pa 0.899 0.899 0.899
Cr1 Cr 0.000 0.000 0.000
B1 B 0.500 0.500 0.500


Entry 11:
# PaCrB | Alexandria via LeMat-Bulk | PBE | relaxed
# Volume: 13.702 Å³ per atom
# Space-group type: No. 107
# Magnetization: 0.00 μB/cell
# Polymorph energy (0 for the lowest one): 0.0168 eV per atom
# Formation enthalpy at 0 K: -0.1 eV per formula unit
# Crystal system: tetragonal
data_PaCrB
_chemical_formula_sum 'Pa1 Cr1 B1'
_space_group_name_H-M_alt 'P 1'
_space_group_IT_number 1
_cell_length_a 5.035
_cell_length_b 5.035
_cell_length_c 5.035
_cell_angle_alpha 145.33
_cell_angle_beta 145.33
_cell_angle_gamma 49.85
loop_
_space_group_symop_operation_xyz
'x,y,z'
loop_
_atom_site_label
_atom_site_type_symbol
_atom_site_fract_x
_atom_site_fract_y
_atom_site_fract_z
Pa1 Pa 0.000 0.000 0.000
Cr1 Cr 0.260 0.260 0.000
B1 B 0.698 0.698 0.000


Entry 12:
# CrBPb3 | Alexandria via LeMat-Bulk | PBE | relaxed
# Volume: 28.047 Å³ per atom
# Space-group type: No. 221
# Magnetization: 2.25 μB/cell
# Polymorph energy (0 for the lowest one): 0.0000 eV per atom
# Formation enthalpy at 0 K: 6.3 eV per formula unit
# Crystal system: cubic
data_CrBPb3
_chemical_formula_sum 'Cr1 B1 Pb3'
_space_group_name_H-M_alt 'P 1'
_space_group_IT_number 1
_cell_length_a 5.195
_cell_length_b 5.195
_cell_length_c 5.195
_cell_angle_alpha 90.00
_cell_angle_beta 90.00
_cell_angle_gamma 90.00
loop_
_space_group_symop_operation_xyz
'x,y,z'
loop_
_atom_site_label
_atom_site_type_symbol
_atom_site_fract_x
_atom_site_fract_y
_atom_site_fract_z
Cr1 Cr 0.000 0.000 0.000
B1 B 0.500 0.500 0.500
Pb1 Pb 0.000 0.000 0.500
Pb2 Pb 0.000 0.500 0.000
Pb3 Pb 0.500 0.000 0.000


Entry 13:
# CrBPb2 | Alexandria via LeMat-Bulk | PBE | relaxed
# Volume: 22.786 Å³ per atom
# Space-group type: No. 122
# Magnetization: 6.51 μB/cell
# Formation enthalpy at 0 K: 3.1 eV per formula unit
# Crystal system: tetragonal
data_CrBPb2
_chemical_formula_sum 'Cr2 B2 Pb4'
_space_group_name_H-M_alt 'P 1'
_space_group_IT_number 1
_cell_length_a 6.902
_cell_length_b 6.902
_cell_length_c 6.902
_cell_angle_alpha 95.37
_cell_angle_beta 95.37
_cell_angle_gamma 144.38
loop_
_space_group_symop_operation_xyz
'x,y,z'
loop_
_atom_site_label
_atom_site_type_symbol
_atom_site_fract_x
_atom_site_fract_y
_atom_site_fract_z
Cr1 Cr 0.000 0.000 0.000
Cr2 Cr 0.750 0.250 0.500
B1 B 0.250 0.750 0.500
B2 B 0.500 0.500 0.000
Pb1 Pb 0.260 0.625 0.135
Pb2 Pb 0.375 0.510 0.635
Pb3 Pb 0.490 0.125 0.865
Pb4 Pb 0.875 0.740 0.365


Entry 14:
# CrB2Pb | Alexandria via LeMat-Bulk | PBE | relaxed
# Volume: 16.380 Å³ per atom
# Space-group type: No. 122
# Magnetization: 0.00 μB/cell
# Formation enthalpy at 0 K: 4.4 eV per formula unit
# Crystal system: tetragonal
data_CrB2Pb
_chemical_formula_sum 'Cr2 B4 Pb2'
_space_group_name_H-M_alt 'P 1'
_space_group_IT_number 1
_cell_length_a 6.313
_cell_length_b 6.313
_cell_length_c 6.313
_cell_angle_alpha 133.27
_cell_angle_beta 133.27
_cell_angle_gamma 68.24
loop_
_space_group_symop_operation_xyz
'x,y,z'
loop_
_atom_site_label
_atom_site_type_symbol
_atom_site_fract_x
_atom_site_fract_y
_atom_site_fract_z
Cr1 Cr 0.000 0.000 0.000
Cr2 Cr 0.750 0.250 0.500
B1 B 0.038 0.625 0.913
B2 B 0.375 0.288 0.413
B3 B 0.712 0.125 0.087
B4 B 0.875 0.962 0.587
Pb1 Pb 0.250 0.750 0.500
Pb2 Pb 0.500 0.500 0.000